# 1
VASP calculation (PBE) on ZrNbCoRh2 after structural relaxation.

Summary:
For the formation energy, the calculation gives 1.233 eV per atom. The calculation puts the density of states at the Fermi level at 5.968 states/eV per cell. Its space-group type is No. 123. As for the volume: 110.3 Å³ per cell.

abc: 4.6615 4.6615 5.0769
angles: 90.00 90.00 90.00
Last column: nearest neighbours and their distance in Å.
Atoms (fractional coordinates):
1 Zr 0.0000 0.0000 0.0000  2 Nb 2.54
2 Nb 0.0000 0.0000 0.5000  4 Rh 2.33, 2 Zr 2.54
3 Co 0.5000 0.5000 0.0000  4 Zr 3.30, 8 Rh 3.45
4 Rh 0.0000 0.5000 0.5000  2 Nb 2.33
5 Rh 0.5000 0.0000 0.5000  2 Nb 2.33

# 2
VASP calculation (PBE) on CsTb2CuTe4 after structural relaxation.

Summary:
The value obtained for the uncorrected formation energy is -1.143 eV per atom. Its space-group type is No. 63. As for the volume: 543.3 Å³ per cell.

abc: 8.1512 8.1512 15.5865
angles: 90.00 90.00 148.36
Last column: nearest neighbours and their distance in Å.
Atoms (fractional coordinates):
1 Cs 0.1100 0.8900 0.7500  6 Te 3.65-3.74
2 Cs 0.8900 0.1100 0.2500  6 Te 3.65-3.74
3 Tb 0.3668 0.6332 0.5632  6 Te 3.05-3.21
4 Tb 0.3668 0.6332 0.9368  6 Te 3.05-3.21
5 Tb 0.6332 0.3668 0.0632  6 Te 3.05-3.21
6 Tb 0.6332 0.3668 0.4368  6 Te 3.05-3.21
7 Cu 0.1653 0.8347 0.2500  4 Te 2.64-2.66
8 Cu 0.8347 0.1653 0.7500  4 Te 2.64-2.66
9 Te 0.0000 0.0000 0.0000  4 Tb 3.21
10 Te 0.0000 0.0000 0.5000  4 Tb 3.21
11 Te 0.2600 0.7400 0.1082  1 Cu 2.66
12 Te 0.2600 0.7400 0.3918  1 Cu 2.66
13 Te 0.4252 0.5748 0.7500  2 Cu 2.64
14 Te 0.5748 0.4252 0.2500  2 Cu 2.64
15 Te 0.7400 0.2600 0.6082  1 Cu 2.66
16 Te 0.7400 0.2600 0.8918  1 Cu 2.66